{"formula": "Fe3GeF", "functional": "PBE with a Hubbard U", "state": "optimized geometry", "lattice_angstrom": [[4.269, 0.000, 0.000], [0.000, 4.269, 0.000], [0.000, 0.000, 4.269]], "species": ["Fe", "Fe", "Fe", "Ge", "F"], "fractional_positions": [[0.000, 0.000, 0.500], [0.000, 0.500, 0.000], [0.500, 0.000, 0.000], [0.500, 0.500, 0.500], [0.000, 0.000, 0.000]], "de_polymorph_ev_per_atom": 0.0000, "dos_ef_per_ev_fu": 5.2}


{"formula": "FeGeN2F", "functional": "PBE with a Hubbard U", "state": "optimized geometry", "lattice_angstrom": [[3.772, 0.000, 0.000], [0.000, 3.772, 0.000], [0.000, 0.000, 3.943]], "species": ["Fe", "Ge", "N", "N", "F"], "fractional_positions": [[0.000, 0.000, 0.000], [0.500, 0.500, 0.500], [0.000, 0.500, 0.500], [0.500, 0.000, 0.500], [0.500, 0.500, 0.000]], "de_polymorph_ev_per_atom": 0.0000, "dos_ef_per_ev_fu": 0.5}


{"formula": "FeGeN2F", "functional": "PBE with a Hubbard U", "state": "optimized geometry", "lattice_angstrom": [[3.841, 0.000, 0.000], [0.000, 3.841, 0.000], [0.000, 0.000, 4.043]], "species": ["Fe", "Ge", "N", "N", "F"], "fractional_positions": [[0.000, 0.000, 0.000], [0.500, 0.500, 0.500], [0.000, 0.500, 0.000], [0.500, 0.000, 0.000], [0.000, 0.000, 0.500]], "de_polymorph_ev_per_atom": 0.1424, "dos_ef_per_ev_fu": 2.0}


{"formula": "Na2FeGeF6", "functional": "PBE with a Hubbard U", "state": "optimized geometry", "lattice_angstrom": [[5.707, 0.000, 0.000], [2.851, 4.970, 0.000], [2.797, 1.686, 4.975]], "species": ["Na", "Na", "Fe", "Ge", "F", "F", "F", "F", "F", "F"], "fractional_positions": [[0.000, 0.000, 0.000], [0.497, 0.491, 0.511], [0.786, 0.786, 0.639], [0.283, 0.283, 0.150], [0.049, 0.672, 0.844], [0.152, 0.570, 0.362], [0.425, 0.057, 0.850], [0.580, 0.901, 0.372], [0.660, 0.426, 0.854], [0.907, 0.154, 0.361]], "final_energy_ry_per_atom": -0.3567, "dos_ef_per_ev_fu": 0.0}


Please write out number 3 again, unchanged.
{"formula": "FeGeN2F", "functional": "PBE with a Hubbard U", "state": "optimized geometry", "lattice_angstrom": [[3.841, 0.000, 0.000], [0.000, 3.841, 0.000], [0.000, 0.000, 4.043]], "species": ["Fe", "Ge", "N", "N", "F"], "fractional_positions": [[0.000, 0.000, 0.000], [0.500, 0.500, 0.500], [0.000, 0.500, 0.000], [0.500, 0.000, 0.000], [0.000, 0.000, 0.500]], "de_polymorph_ev_per_atom": 0.1424, "dos_ef_per_ev_fu": 2.0}


Please write out number 3 again, unchanged.
{"formula": "FeGeN2F", "functional": "PBE with a Hubbard U", "state": "optimized geometry", "lattice_angstrom": [[3.841, 0.000, 0.000], [0.000, 3.841, 0.000], [0.000, 0.000, 4.043]], "species": ["Fe", "Ge", "N", "N", "F"], "fractional_positions": [[0.000, 0.000, 0.000], [0.500, 0.500, 0.500], [0.000, 0.500, 0.000], [0.500, 0.000, 0.000], [0.000, 0.000, 0.500]], "de_polymorph_ev_per_atom": 0.1424, "dos_ef_per_ev_fu": 2.0}